Version a
Below is crystalline Pm4Y5Ho2 at its relaxed geometry, with properties calculated at the GGA-PBE level.

Lattice parameters (Å, degrees): 36.3914 3.5923 5.6120 90.00 98.86 90.00
Last column: nearest neighbours and their distance in Å.
Space group C2/m (No. 12)
Asymmetric unit:
Pm (0.0442, 0.0000, 0.0438) x4  1 Pm 3.18, 2 Y 3.38-3.39
Pm (0.1831, 0.5000, 0.6825) x4  2 Ho 3.38, 7 Y 3.41-3.62, 2 Pm 3.59
Y (0.0000, 0.5000, 0.5000) x2  6 Y 3.59-3.92, 8 Pm 3.69
Y (0.0968, 0.0000, 0.5962) x4  4 Pm 3.38-3.58, 4 Ho 3.55, 2 Y 3.59
Y (0.2222, 0.0000, 0.2217) x4  5 Pm 3.41-3.62, 2 Y 3.59, 2 Ho 3.74
Ho (0.1308, 0.5000, 0.1302) x4  4 Pm 3.38-3.59, 6 Y 3.55-3.74, 2 Ho 3.59

Version b
Below is crystalline Pm4Y5Ho2 at its relaxed geometry, with properties calculated at the GGA-PBE level.

Lattice parameters (Å, degrees): 24.1360 3.5534 8.6565 90.00 94.64 90.00
Last column: nearest neighbours and their distance in Å.
Space group C2/m (No. 12)
Asymmetric unit:
Pm (0.0395, 0.0000, 0.3439) x4  3 Pm 3.43-3.55, 4 Y 3.51-3.60, 4 Ho 3.54-3.64
Pm (0.2243, 0.5000, 0.8268) x4  1 Ho 3.39, 6 Y 3.54-3.60, 4 Pm 3.55-3.62
Y (0.0000, 0.5000, 0.0000) x2  2 Ho 3.51, 4 Pm 3.53, 6 Y 3.55-3.60
Y (0.1302, 0.0000, 0.0465) x4  4 Pm 3.51-3.59, 5 Y 3.55-3.82, 2 Ho 3.59
Y (0.1848, 0.0000, 0.4738) x4  4 Pm 3.54-3.60, 5 Y 3.55-3.82, 2 Ho 3.61
Ho (0.0879, 0.5000, 0.6957) x4  5 Pm 3.39-3.64, 5 Y 3.51-3.61, 2 Ho 3.55

The most stable arrangement is version a, and the next structure is 66 meV per atom less stable.

Version a
Below is crystalline Pm12YHo7 at its relaxed geometry, with properties calculated at the GGA-PBE level.

Lattice parameters (Å, degrees): 12.9273 12.9273 14.0880 90.00 90.00 120.00
Last column: nearest neighbours and their distance in Å.
Space group R-3 (No. 148, hexagonal axes)
Asymmetric unit:
Pm (0.9999, 0.4334, 0.2498) x18  3 Ho 3.37-3.64, 3 Pm 3.40-3.72
Pm (0.0669, 0.1986, 0.3441) x18  2 Ho 3.12-3.15, 2 Pm 3.14-3.40
Y (0.0000, 0.0000, 0.0000) x3  6 Ho 3.09
Ho (0.0000, 0.0000, 0.5000) x3  6 Pm 3.15
Ho (0.0674, 0.8689, 0.8502) x18  1 Y 3.09, 2 Pm 3.12-3.37, 1 Ho 3.16

Version b
Below is crystalline Pm12YHo7 at its relaxed geometry, with properties calculated at the GGA-PBE level.

Lattice parameters (Å, degrees): 19.6155 19.6155 6.1950 90.00 90.00 120.00
Last column: nearest neighbours and their distance in Å.
Space group R-3m (No. 166, hexagonal axes)
Asymmetric unit:
Pm (0.0000, 0.4129, 0.0000) x18  2 Ho 3.37, 5 Pm 3.40-3.72
Pm (0.0978, 0.5489, 0.4612) x18  4 Ho 3.31-3.59, 1 Pm 3.36
Y (0.0000, 0.0000, 0.5000) x3  8 Ho 3.06-3.10
Ho (0.0000, 0.0000, 0.0000) x3  2 Y 3.10, 6 Ho 3.31
Ho (0.0816, 0.1633, 0.2912) x18  1 Y 3.06, 1 Ho 3.31, 4 Pm 3.31-3.37

The most stable arrangement is version b, and the next structure is 31 meV per atom less stable.

Version a
Below is crystalline PmY2Ho9 at its relaxed geometry, with properties calculated at the GGA-PBE level.

Lattice parameters (Å, degrees): 5.0127 5.0127 15.0353 90.00 90.00 90.00
Last column: nearest neighbours and their distance in Å.
Space group P4/mmm (No. 123)
Asymmetric unit:
Pm (0.0000, 0.0000, 0.0000) x1  12 Ho 3.54-3.55
Y (0.0000, 0.0000, 0.3338) x2  12 Ho 3.54
Ho (0.0000, 0.5000, 0.1676) x4  2 Y 3.54, 8 Ho 3.54-3.55, 2 Pm 3.55
Ho (0.0000, 0.5000, 0.5000) x2  8 Ho 3.53-3.54, 4 Y 3.54
Ho (0.5000, 0.5000, 0.0000) x1  4 Pm 3.54, 8 Ho 3.55
Ho (0.5000, 0.5000, 0.3343) x2  8 Ho 3.53-3.54, 4 Y 3.54

Version b
Below is crystalline PmY2Ho9 at its relaxed geometry, with properties calculated at the GGA-PBE level.

Lattice parameters (Å, degrees): 11.2143 11.2143 3.4942 90.00 90.00 120.00
Last column: nearest neighbours and their distance in Å.
Space group P6/mmm (No. 191)
Asymmetric unit:
Pm (0.0000, 0.0000, 0.0000) x1  2 Pm 3.49, 12 Ho 3.86
Y (0.3333, 0.6667, 0.0000) x2  9 Ho 3.24-3.50, 2 Y 3.49
Ho (0.0000, 0.5000, 0.0000) x3  2 Y 3.24, 10 Ho 3.49-3.59
Ho (0.1771, 0.3541, 0.5000) x6  8 Ho 3.44-3.59, 2 Y 3.50

The most stable arrangement is version a, and the next structure is 26 meV per atom less stable.

Version a
Below is crystalline Pm8YHo2 at its relaxed geometry, with properties calculated at the GGA-PBE level.

Lattice parameters (Å, degrees): 14.2422 6.7806 8.6118 90.00 114.15 90.00
Last column: nearest neighbours and their distance in Å.
Space group C2/m (No. 12)
Asymmetric unit:
Pm (0.0924, 0.2406, 0.3820) x8  4 Pm 3.26-3.63, 2 Ho 3.47-3.56, 1 Y 3.48
Pm (0.1083, 0.0000, 0.9924) x4  2 Pm 3.14-3.16, 1 Ho 3.28
Pm (0.2403, 0.0000, 0.7737) x4  1 Pm 3.16, 1 Y 3.40
Y (0.0000, 0.5000, 0.0000) x2  10 Pm 3.40-3.74, 2 Ho 3.51
Ho (0.1457, 0.5000, 0.7559) x4  7 Pm 3.28-3.63, 1 Y 3.51

Version b
Below is crystalline Pm8YHo2 at its relaxed geometry, with properties calculated at the GGA-PBE level.

Lattice parameters (Å, degrees): 16.8085 6.7815 6.7033 90.00 100.01 90.00
Last column: nearest neighbours and their distance in Å.
Space group C2/m (No. 12)
Asymmetric unit:
Pm (0.0880, 0.2378, 0.4069) x8  5 Pm 3.23-3.56, 1 Y 3.37, 1 Ho 3.47
Pm (0.0928, 0.0000, 0.9120) x4  8 Pm 3.37-3.76, 1 Ho 3.68
Pm (0.2443, 0.5000, 0.3175) x4  5 Pm 3.31-3.49, 4 Ho 3.38-3.66
Y (0.0000, 0.5000, 0.0000) x2  4 Pm 3.37
Ho (0.1990, 0.5000, 0.8061) x4  7 Pm 3.38-3.68

The most stable arrangement is version b, and the next structure is 43 meV per atom less stable.

Version a
Below is crystalline PmY2Ho7 at its relaxed geometry, with properties calculated at the GGA-PBE level.

Lattice parameters (Å, degrees): 6.1397 7.0943 7.9272 77.05 75.07 73.27
Last column: nearest neighbours and their distance in Å.
Space group P-1 (No. 2)
Asymmetric unit:
Pm (0.0000, 0.0000, 0.0000) x1  10 Ho 3.54-3.55, 2 Y 3.55
Y (0.2022, 0.7988, 0.5996) x2  10 Ho 3.54-3.56, 1 Pm 3.55, 1 Y 3.57
Ho (0.0000, 0.5000, 0.0000) x1  8 Ho 3.54-3.55, 2 Y 3.55, 2 Pm 3.55
Ho (0.1993, 0.3008, 0.6002) x2  7 Ho 3.54-3.55, 4 Y 3.54-3.56, 1 Pm 3.55
Ho (0.3999, 0.1004, 0.1995) x2  3 Y 3.54-3.56, 7 Ho 3.54-3.55, 2 Pm 3.54-3.55
Ho (0.3995, 0.5996, 0.2000) x2  2 Y 3.54, 9 Ho 3.54-3.55, 1 Pm 3.55

Version b
Below is crystalline PmY2Ho7 at its relaxed geometry, with properties calculated at the GGA-PBE level.

Lattice parameters (Å, degrees): 8.5938 17.3340 5.2052 90.00 90.00 90.00
Last column: nearest neighbours and their distance in Å.
Space group Cmmm (No. 65)
Asymmetric unit:
Pm (0.0000, 0.0000, 0.0000) x2  10 Ho 3.39-3.56
Y (0.0000, 0.2971, 0.5000) x4  4 Ho 3.14-3.21
Ho (0.0000, 0.1958, 0.0000) x4  2 Y 3.14, 4 Ho 3.38, 1 Pm 3.39
Ho (0.0000, 0.5000, 0.5000) x2  4 Ho 3.33, 2 Y 3.52
Ho (0.1792, 0.1082, 0.5000) x8  4 Ho 3.08-3.38, 1 Y 3.21

The most stable arrangement is version a, and the next structure is 690 meV per atom less stable.

Version a
Below is crystalline Pm2YHo2 at its relaxed geometry, with properties calculated at the GGA-PBE level.

Lattice parameters (Å, degrees): 11.8906 3.5842 8.7698 90.00 119.32 90.00
Last column: nearest neighbours and their distance in Å.
Space group C2/m (No. 12)
Asymmetric unit:
Pm (0.0994, 0.0000, 0.4001) x4  5 Pm 3.57-3.60, 2 Y 3.59, 5 Ho 3.59-3.60
Y (0.0000, 0.5000, 0.0000) x2  6 Ho 3.57-3.58, 2 Y 3.58, 4 Pm 3.59
Ho (0.2009, 0.5000, 0.8027) x4  4 Ho 3.55-3.58, 3 Y 3.57-3.58, 5 Pm 3.59-3.60

Version b
Below is crystalline Pm2YHo2 at its relaxed geometry, with properties calculated at the GGA-PBE level.

Lattice parameters (Å, degrees): 12.0165 6.3189 9.2868 90.00 110.48 90.00
Last column: nearest neighbours and their distance in Å.
Space group C2/c (No. 15)
Asymmetric unit:
Pm (0.1990, 0.1695, 0.1499) x8  6 Ho 3.55-3.68, 3 Y 3.55-3.65, 3 Pm 3.56-3.65
Y (0.0000, 0.1649, 0.7500) x4  6 Pm 3.55-3.65, 6 Ho 3.57-3.66
Ho (0.1005, 0.3363, 0.4499) x8  3 Ho 3.54-3.65, 6 Pm 3.55-3.68, 3 Y 3.57-3.66

The most stable arrangement is version b, and the next structure is 6 meV per atom less stable.

Version a
Below is crystalline PmY4Ho at its relaxed geometry, with properties calculated at the GGA-PBE level.

Lattice parameters (Å, degrees): 5.6723 5.6723 6.9412 90.00 90.00 120.00
Last column: nearest neighbours and their distance in Å.
Space group P6/mmm (No. 191)
Asymmetric unit:
Pm (0.0000, 0.0000, 0.0000) x1  2 Ho 3.47, 12 Y 3.72
Y (0.3333, 0.6667, 0.2531) x4  5 Y 3.27-3.51
Ho (0.0000, 0.0000, 0.5000) x1  2 Pm 3.47, 12 Y 3.70

Version b
Below is crystalline PmY4Ho at its relaxed geometry, with properties calculated at the GGA-PBE level.

Lattice parameters (Å, degrees): 5.4205 5.4205 7.8474 90.00 90.00 90.00
Last column: nearest neighbours and their distance in Å.
Space group P4/mmm (No. 123)
Asymmetric unit:
Pm (0.0000, 0.0000, 0.0000) x1  8 Y 3.37
Y (0.0000, 0.5000, 0.2550) x4  2 Ho 3.32, 2 Pm 3.37
Ho (0.5000, 0.5000, 0.5000) x1  8 Y 3.32

The most stable arrangement is version a, and the next structure is 677 meV per atom less stable.

Version a
Below is crystalline Pm5YHo3 at its relaxed geometry, with properties calculated at the GGA-PBE level.

Lattice parameters (Å, degrees): 9.2464 9.2464 14.3653 90.00 90.00 90.00
Last column: nearest neighbours and their distance in Å.
Space group I4/mcm (No. 140)
Asymmetric unit:
Pm (0.0000, 0.0000, 0.0000) x4  6 Ho 3.59-3.75, 8 Pm 3.83
Pm (0.2030, 0.2970, 0.1316) x16  1 Ho 3.09, 1 Y 3.15
Y (0.0000, 0.5000, 0.2500) x4  4 Pm 3.15
Ho (0.0000, 0.0000, 0.2500) x4  10 Pm 3.59-3.74
Ho (0.1099, 0.3901, 0.5000) x8  1 Ho 2.88, 2 Pm 3.09

Version b
Below is crystalline Pm5YHo3 at its relaxed geometry, with properties calculated at the GGA-PBE level.

Lattice parameters (Å, degrees): 9.0760 9.8447 13.3697 90.00 96.69 90.00
Last column: nearest neighbours and their distance in Å.
Space group C2/c (No. 15)
Asymmetric unit:
Pm (0.0000, 0.1598, 0.2500) x4  1 Y 3.31, 4 Pm 3.38-3.54, 4 Ho 3.67-3.69
Pm (0.1655, 0.3449, 0.0812) x8  4 Pm 3.27-3.54, 1 Y 3.57
Pm (0.1688, 0.3233, 0.5826) x8  2 Pm 3.15-3.27, 1 Y 3.20
Y (0.0000, 0.1763, 0.7500) x4  5 Pm 3.20-3.57
Ho (0.0000, 0.0000, 0.0000) x4  2 Ho 3.55, 10 Pm 3.65-3.82, 2 Y 3.77
Ho (0.1678, 0.4989, 0.8315) x8  2 Ho 3.53-3.55, 2 Y 3.63-3.75, 10 Pm 3.65-3.83

The most stable arrangement is version b, and the next structure is 250 meV per atom less stable.

Version a
Below is crystalline Pm3YHo6 at its relaxed geometry, with properties calculated at the GGA-PBE level.

Lattice parameters (Å, degrees): 6.1768 6.1819 9.4306 102.59 109.09 99.67
Last column: nearest neighbours and their distance in Å.
Space group P-1 (No. 2)
Asymmetric unit:
Pm (0.0000, 0.0000, 0.0000) x1  10 Ho 3.56-3.58, 2 Pm 3.57
Pm (0.2010, 0.1004, 0.7004) x2  8 Ho 3.56-3.58, 2 Pm 3.57, 2 Y 3.57
Y (0.0000, 0.5000, 0.5000) x1  8 Ho 3.56-3.57, 4 Pm 3.57
Ho (0.2009, 0.5985, 0.2004) x2  7 Ho 3.56-3.58, 4 Pm 3.56-3.58, 1 Y 3.56
Ho (0.4001, 0.6987, 0.9005) x2  6 Ho 3.55-3.58, 5 Pm 3.56-3.58, 1 Y 3.57
Ho (0.4007, 0.2002, 0.3999) x2  6 Ho 3.56-3.58, 2 Y 3.56-3.57, 4 Pm 3.56-3.57

Version b
Below is crystalline Pm3YHo6 at its relaxed geometry, with properties calculated at the GGA-PBE level.

Lattice parameters (Å, degrees): 10.8810 18.8086 6.3727 90.00 90.00 90.00
Last column: nearest neighbours and their distance in Å.
Space group Cmc2_1 (No. 36)
Asymmetric unit:
Pm (0.0000, 0.1123, 0.0000) x4  7 Ho 3.47-3.76, 2 Pm 3.57, 1 Y 3.73
Pm (0.1781, 0.3862, 0.3946) x8  1 Y 3.25, 6 Ho 3.27-3.48, 1 Pm 3.57
Y (0.0000, 0.3096, 0.0540) x4  2 Pm 3.25, 6 Ho 3.33-3.53
Ho (0.0000, 0.2299, 0.5802) x4  4 Ho 3.16-3.38, 1 Y 3.37, 1 Pm 3.47
Ho (0.0000, 0.4645, 0.7851) x4  1 Y 3.38, 2 Ho 3.46, 4 Pm 3.48
Ho (0.1688, 0.0457, 0.4761) x8  4 Ho 3.38-3.67, 4 Pm 3.40-3.76
Ho (0.2358, 0.2103, 0.2956) x8  5 Ho 3.16-3.53, 2 Pm 3.27-3.43, 2 Y 3.33-3.53

The most stable arrangement is version a, and the next structure is 136 meV per atom less stable.

Version a
Below is crystalline Pm3Y8Ho3 at its relaxed geometry, with properties calculated at the GGA-PBE level.

Lattice parameters (Å, degrees): 5.6777 10.8291 15.0527 90.00 90.00 90.00
Last column: nearest neighbours and their distance in Å.
Space group Immm (No. 71)
Asymmetric unit:
Pm (0.0000, 0.0000, 0.0000) x2  4 Ho 3.59, 4 Pm 3.94, 4 Y 4.01
Pm (0.0000, 0.5000, 0.3189) x4  2 Ho 3.51, 8 Y 3.63-3.74
Y (0.0000, 0.1593, 0.2791) x8  6 Y 3.31-3.56, 2 Pm 3.63, 1 Ho 3.64
Y (0.0000, 0.3418, 0.1028) x8  5 Y 3.09-3.43
Ho (0.0000, 0.0000, 0.5000) x2  2 Ho 3.21
Ho (0.0000, 0.2966, 0.5000) x4  1 Ho 3.21, 4 Pm 3.51-3.59, 4 Y 3.56

Version b
Below is crystalline Pm3Y8Ho3 at its relaxed geometry, with properties calculated at the GGA-PBE level.

Lattice parameters (Å, degrees): 5.6663 10.7571 15.1440 90.00 90.00 90.00
Last column: nearest neighbours and their distance in Å.
Space group Immm (No. 71)
Asymmetric unit:
Pm (0.0000, 0.0000, 0.0000) x2  2 Pm 3.27
Pm (0.0000, 0.3039, 0.0000) x4  1 Pm 3.27, 4 Ho 3.50-3.53, 4 Y 3.59
Y (0.0000, 0.1588, 0.2221) x8  6 Y 3.28-3.55, 2 Ho 3.60
Y (0.0000, 0.3402, 0.3964) x8  5 Y 3.14-3.44
Ho (0.0000, 0.0000, 0.5000) x2  4 Pm 3.53
Ho (0.0000, 0.5000, 0.1846) x4  2 Pm 3.50, 8 Y 3.60-3.71

The most stable arrangement is version a, and the next structure is 15 meV per atom less stable.